# 1
V2Ni5Rh2 GGA-PBE optimized geometry; density of states at the Fermi level = 1.058 states/eV/atom; mass density = 9.132 g/cm3; energy = -7.05 eV/atom; total moment = 0.00 μB/f.u.; ΔH_f (0 K) = -4.02 kcal/mol of atoms
1.0
4.450 0.108 -0.414
-1.154 4.868 -2.942
0.638 -1.736 6.049
V Ni Rh
2 5 2
Direct
0.564 0.351 0.221
0.436 0.649 0.779
0.784 0.671 0.103
0.216 0.329 0.897
0.890 0.346 0.555
0.110 0.654 0.445
0.000 0.000 0.000
0.666 0.997 0.672
0.334 0.003 0.328

---

# 2
V4Ni5Rh2 GGA-PBE optimized geometry; density of states at the Fermi level = 1.557 states/eV/atom; mass density = 8.129 g/cm3; energy = -7.23 eV/atom; total moment = 2.06 μB/f.u.; ΔH_f (0 K) = 1.13 kcal/mol of atoms
1.0
4.126 0.000 0.000
0.000 7.076 0.000
-2.063 -3.538 4.920
V Ni Rh
4 5 2
Direct
0.617 0.617 0.235
0.000 0.300 0.000
0.383 0.383 0.765
0.000 0.700 0.000
0.262 0.595 0.524
0.738 0.405 0.476
0.262 0.929 0.524
0.500 0.000 0.000
0.738 0.071 0.476
0.139 0.139 0.278
0.861 0.861 0.722

---

# 3
VNi2Rh GGA-PBE optimized geometry; density of states at the Fermi level = 0.519 states/eV/atom; mass density = 9.253 g/cm3; energy = -7.30 eV/atom; total moment = 0.00 μB/f.u.; ΔH_f (0 K) = -6.69 kcal/mol of atoms
1.0
-1.479 -3.890 1.836
-1.676 -1.080 -3.638
4.412 -2.312 -1.346
V Ni Rh
2 4 2
Direct
0.832 0.750 0.250
0.168 0.250 0.750
0.342 0.750 0.999
0.342 0.750 0.501
0.658 0.250 0.001
0.658 0.250 0.499
0.164 0.250 0.250
0.836 0.750 0.750

---

# 4
V3Ni2Rh2 GGA-PBE optimized geometry; density of states at the Fermi level = 1.329 states/eV/atom; mass density = 8.545 g/cm3; energy = -7.80 eV/atom; total moment = 0.00 μB/f.u.; ΔH_f (0 K) = -3.16 kcal/mol of atoms
1.0
3.581 0.000 0.475
0.000 2.700 0.000
0.542 0.000 9.642
V Ni Rh
3 2 2
Direct
0.863 0.000 0.274
0.000 0.000 0.000
0.137 0.000 0.726
0.564 0.500 0.871
0.436 0.500 0.129
0.699 0.500 0.602
0.301 0.500 0.398

---

# 5
VNi3Rh GGA-PBE optimized geometry; density of states at the Fermi level = 1.020 states/eV/atom; mass density = 8.482 g/cm3; energy = -6.72 eV/atom; total moment = 0.00 μB/f.u.; ΔH_f (0 K) = 0.97 kcal/mol of atoms
1.0
-0.380 -2.566 3.985
-2.644 -3.952 0.040
4.263 -5.717 -0.438
V Ni Rh
2 6 2
Direct
0.306 0.306 0.081
0.694 0.694 0.919
0.239 0.239 0.779
0.742 0.239 0.779
0.761 0.258 0.221
0.258 0.761 0.221
0.761 0.761 0.221
0.239 0.742 0.779
0.189 0.189 0.433
0.811 0.811 0.567

---

# 6
VNi4Rh GGA-PBE optimized geometry; density of states at the Fermi level = 1.611 states/eV/atom; mass density = 8.668 g/cm3; energy = -6.50 eV/atom; total moment = 1.73 μB/f.u.; ΔH_f (0 K) = 2.29 kcal/mol of atoms
1.0
3.636 0.000 0.000
0.000 5.119 0.000
-1.818 0.000 7.999
V Ni Rh
2 8 2
Direct
0.230 0.750 0.461
0.770 0.250 0.539
0.500 0.500 0.000
0.500 0.000 0.000
0.655 0.976 0.310
0.345 0.024 0.690
0.345 0.476 0.690
0.655 0.524 0.310
0.073 0.750 0.146
0.927 0.250 0.854
0.090 0.250 0.181
0.910 0.750 0.819

---

# 7
V2Ni9Rh GGA-PBE optimized geometry; density of states at the Fermi level = 0.962 states/eV/atom; mass density = 8.868 g/cm3; energy = -6.59 eV/atom; total moment = 0.00 μB/f.u.; ΔH_f (0 K) = -2.92 kcal/mol of atoms
1.0
-0.686 0.800 -3.425
-1.705 -3.128 -0.389
-9.177 4.639 2.922
V Ni Rh
2 9 1
Direct
0.000 0.000 0.329
0.000 0.000 0.671
0.500 0.500 0.000
0.500 0.500 0.338
0.500 0.500 0.662
0.500 0.000 0.176
0.500 0.000 0.500
0.500 0.000 0.824
0.000 0.500 0.176
0.000 0.500 0.500
0.000 0.500 0.824
0.000 0.000 0.000

---

# 8
V2Ni7Rh3 GGA-PBE optimized geometry; density of states at the Fermi level = 1.492 states/eV/atom; mass density = 8.635 g/cm3; energy = -6.59 eV/atom; total moment = 1.76 μB/f.u.; ΔH_f (0 K) = 3.18 kcal/mol of atoms
1.0
2.664 0.000 -0.348
0.000 4.042 0.000
0.554 0.000 14.597
V Ni Rh
2 7 3
Direct
0.361 0.500 0.723
0.639 0.500 0.277
0.284 0.500 0.568
0.716 0.500 0.432
0.416 0.000 0.833
0.000 0.000 0.000
0.584 0.000 0.167
0.072 0.500 0.144
0.928 0.500 0.856
0.500 0.500 0.000
0.831 0.000 0.662
0.169 0.000 0.338

---

# 9
V3Ni2Rh6 GGA-PBE optimized geometry; density of states at the Fermi level = 1.120 states/eV/atom; mass density = 10.006 g/cm3; energy = -7.80 eV/atom; total moment = 0.00 μB/f.u.; ΔH_f (0 K) = -5.83 kcal/mol of atoms
1.0
-2.306 -0.962 -3.893
-4.155 -0.125 4.309
-11.698 3.513 -0.376
V Ni Rh
3 2 6
Direct
0.000 0.000 0.000
0.842 0.943 0.264
0.158 0.057 0.736
0.294 0.659 0.082
0.706 0.341 0.918
0.444 0.703 0.830
0.896 0.438 0.645
0.556 0.297 0.170
0.104 0.562 0.355
0.625 0.807 0.548
0.375 0.193 0.452

---

# 10
V2Ni5Rh GGA-PBE optimized geometry; density of states at the Fermi level = 0.903 states/eV/atom; mass density = 8.793 g/cm3; energy = -7.04 eV/atom; total moment = 1.14 μB/f.u.; ΔH_f (0 K) = -5.26 kcal/mol of atoms
1.0
3.568 0.000 0.000
0.000 5.141 0.000
0.000 0.000 10.258
V Ni Rh
4 10 2
Direct
0.500 0.249 0.627
0.500 0.751 0.373
0.500 0.251 0.127
0.500 0.749 0.873
0.000 0.000 0.000
0.000 0.500 0.500
0.000 0.486 0.748
0.000 0.514 0.252
0.000 0.014 0.248
0.000 0.986 0.752
0.500 0.235 0.870
0.500 0.765 0.130
0.500 0.265 0.370
0.500 0.735 0.630
0.000 0.000 0.500
0.000 0.500 0.000

---

# 11
V3NiRh6 GGA-PBE optimized geometry; density of states at the Fermi level = 0.918 states/eV/atom; mass density = 9.823 g/cm3; energy = -7.89 eV/atom; total moment = 0.00 μB/f.u.; ΔH_f (0 K) = -3.85 kcal/mol of atoms
1.0
4.719 0.000 0.000
0.000 8.260 -1.409
0.000 -3.216 7.738
V Ni Rh
6 2 12
Direct
0.416 0.946 0.720
0.916 0.720 0.946
0.146 0.389 0.611
0.646 0.611 0.389
0.916 0.054 0.280
0.416 0.280 0.054
0.170 0.221 0.779
0.670 0.779 0.221
0.035 0.706 0.638
0.535 0.638 0.706
0.339 0.563 0.959
0.839 0.959 0.563
0.403 0.945 0.055
0.686 0.311 0.689
0.186 0.689 0.311
0.903 0.055 0.945
0.339 0.041 0.437
0.839 0.437 0.041
0.035 0.362 0.294
0.535 0.294 0.362

---

# 12
V2Ni8Rh GGA-PBE optimized geometry; density of states at the Fermi level = 1.385 states/eV/atom; mass density = 8.864 g/cm3; energy = -6.71 eV/atom; total moment = 0.00 μB/f.u.; ΔH_f (0 K) = -4.02 kcal/mol of atoms
1.0
3.433 0.000 -0.983
-0.246 5.596 -0.858
0.054 -0.711 6.677
V Ni Rh
2 8 1
Direct
0.861 0.813 0.721
0.139 0.187 0.279
0.410 0.542 0.820
0.683 0.904 0.367
0.770 0.364 0.540
0.048 0.726 0.097
0.230 0.636 0.460
0.317 0.096 0.633
0.590 0.458 0.180
0.952 0.274 0.903
0.500 0.000 0.000

---

# 13
V2NiRh7 GGA-PBE optimized geometry; density of states at the Fermi level = 1.889 states/eV/atom; mass density = 9.351 g/cm3; energy = -7.27 eV/atom; total moment = 1.44 μB/f.u.; ΔH_f (0 K) = 6.49 kcal/mol of atoms
1.0
2.707 0.000 0.000
0.000 8.217 -0.372
0.000 -3.959 7.210
V Ni Rh
2 1 7
Direct
0.500 0.672 0.328
0.500 0.328 0.672
0.000 0.000 0.000
0.000 0.813 0.187
0.000 0.187 0.813
0.500 0.133 0.327
0.500 0.867 0.673
0.500 0.327 0.133
0.500 0.673 0.867
0.500 0.500 0.500

---

# 14
VNiRh GGA-PBE optimized geometry; density of states at the Fermi level = 1.393 states/eV/atom; mass density = 8.234 g/cm3; energy = -7.00 eV/atom; total moment = 0.00 μB/f.u.; ΔH_f (0 K) = 9.55 kcal/mol of atoms
1.0
2.584 0.000 0.000
0.000 2.584 0.000
-1.292 -1.292 6.421
Ni Rh V
1 1 1
Direct
0.773 0.773 0.546
0.128 0.128 0.255
0.949 0.949 0.899

---

# 15
V4Ni6Rh7 GGA-PBE optimized geometry; density of states at the Fermi level = 1.474 states/eV/atom; mass density = 9.201 g/cm3; energy = -7.17 eV/atom; total moment = 3.72 μB/f.u.; ΔH_f (0 K) = 0.93 kcal/mol of atoms
1.0
6.306 0.000 -2.230
-3.153 5.461 -2.230
0.000 0.000 6.689
V Ni Rh
4 6 7
Direct
0.500 0.000 0.000
0.500 0.500 0.500
0.000 0.500 0.000
0.000 0.000 0.500
0.703 0.000 0.703
0.703 0.703 0.000
0.000 0.297 0.297
0.297 0.000 0.297
0.297 0.297 0.000
0.000 0.703 0.703
0.750 0.500 0.250
0.250 0.750 0.500
0.500 0.750 0.250
0.750 0.250 0.500
0.250 0.500 0.750
0.500 0.250 0.750
0.000 0.000 0.000

---

# 16
VNi7Rh4 GGA-PBE optimized geometry; density of states at the Fermi level = 1.663 states/eV/atom; mass density = 9.379 g/cm3; energy = -6.34 eV/atom; total moment = 1.71 μB/f.u.; ΔH_f (0 K) = 5.49 kcal/mol of atoms
1.0
4.292 0.000 0.000
2.146 8.292 -0.737
2.146 -0.116 4.356
V Ni Rh
1 7 4
Direct
0.000 0.000 0.000
0.808 0.915 0.469
0.192 0.085 0.531
0.028 0.619 0.325
0.972 0.381 0.675
0.346 0.523 0.785
0.500 0.000 0.000
0.654 0.477 0.215
0.650 0.230 0.469
0.350 0.770 0.531
0.699 0.704 0.897
0.301 0.296 0.103

---

# 17
VNi2Rh GGA-PBE optimized geometry; density of states at the Fermi level = 1.013 states/eV/atom; mass density = 9.099 g/cm3; energy = -7.08 eV/atom; total moment = 0.00 μB/f.u.; ΔH_f (0 K) = -1.55 kcal/mol of atoms
1.0
4.121 0.000 0.000
2.061 3.569 0.000
2.061 1.190 3.365
Ni Rh V
2 1 1
Direct
0.250 0.250 0.250
0.750 0.750 0.750
0.500 0.500 0.500
0.000 0.000 0.000

---

# 18
VNi4Rh2 GGA-PBE optimized geometry; density of states at the Fermi level = 1.513 states/eV/atom; mass density = 9.578 g/cm3; energy = -6.84 eV/atom; total moment = 0.08 μB/f.u.; ΔH_f (0 K) = -3.19 kcal/mol of atoms
1.0
-4.398 -2.038 -1.039
3.935 -2.989 -3.547
2.186 -1.396 6.328
V Ni Rh
2 8 4
Direct
0.363 0.651 0.476
0.102 0.887 0.027
0.976 0.756 0.607
0.386 0.169 0.880
0.931 0.219 0.180
0.239 0.021 0.449
0.790 0.066 0.767
0.211 0.502 0.040
0.826 0.603 0.171
0.505 0.799 0.907
0.640 0.925 0.333
0.678 0.468 0.747
0.081 0.363 0.616
0.521 0.322 0.302

---

# 19
VNiRh GGA-PBE optimized geometry; density of states at the Fermi level = 0.637 states/eV/atom; mass density = 7.973 g/cm3; energy = -7.17 eV/atom; total moment = 0.00 μB/f.u.; ΔH_f (0 K) = 5.69 kcal/mol of atoms
1.0
4.881 0.241 0.913
2.812 2.551 0.108
-0.689 0.610 3.519
V Ni Rh
1 1 1
Direct
0.500 0.500 0.000
0.000 0.000 0.500
0.000 0.500 0.000

---

# 20
V3Ni2Rh2 GGA-PBE optimized geometry; density of states at the Fermi level = 1.127 states/eV/atom; mass density = 8.694 g/cm3; energy = -7.83 eV/atom; total moment = 0.00 μB/f.u.; ΔH_f (0 K) = -3.84 kcal/mol of atoms
1.0
-0.943 -0.041 -2.593
-4.387 -1.823 3.092
-0.226 6.287 -0.016
V Ni Rh
3 2 2
Direct
0.000 0.000 0.000
0.731 0.461 0.153
0.269 0.539 0.847
0.570 0.142 0.722
0.430 0.858 0.278
0.864 0.727 0.590
0.136 0.273 0.410

---

# 21
V3Ni4Rh GGA-PBE optimized geometry; density of states at the Fermi level = 1.019 states/eV/atom; mass density = 8.391 g/cm3; energy = -7.42 eV/atom; total moment = 0.00 μB/f.u.; ΔH_f (0 K) = -4.31 kcal/mol of atoms
1.0
-3.584 -2.968 2.306
3.755 -3.013 1.958
0.303 4.178 5.847
V Ni Rh
6 8 2
Direct
0.814 0.500 0.000
0.064 0.748 0.250
0.564 0.252 0.250
0.314 0.500 0.500
0.564 0.252 0.750
0.064 0.748 0.750
0.314 0.500 0.000
0.314 0.000 0.000
0.064 0.259 0.250
0.564 0.741 0.250
0.814 0.000 0.500
0.814 0.500 0.500
0.564 0.741 0.750
0.064 0.259 0.750
0.814 0.000 0.000
0.314 0.000 0.500

---

# 22
V4Ni4Rh3 GGA-PBE optimized geometry; density of states at the Fermi level = 1.186 states/eV/atom; mass density = 8.643 g/cm3; energy = -7.48 eV/atom; total moment = 0.00 μB/f.u.; ΔH_f (0 K) = -1.23 kcal/mol of atoms
1.0
2.673 0.000 0.000
0.000 8.287 0.000
-1.337 -4.143 6.481
V Ni Rh
4 4 3
Direct
0.213 0.713 0.425
0.787 0.287 0.575
0.500 0.782 0.000
0.500 0.218 0.000
0.327 0.088 0.654
0.673 0.434 0.346
0.673 0.912 0.346
0.327 0.566 0.654
0.109 0.109 0.219
0.891 0.891 0.781
0.000 0.500 0.000